# PBE AlCo2Sn, relaxed
# Energy of formation from the pure elements ... 346 meV/atom
# M_tot ... 2.56 μB per formula unit
# VASP energy ... -5.143 eV per atom
# Space group ... I-42d (122)
data_AlCo2Sn
_space_group_name_H-M_alt 'P 1'
_space_group_IT_number 1
_space_group_name_Hall 'P 1'
_cell_length_a 8.9014
_cell_length_b 8.9014
_cell_length_c 8.9014
_cell_angle_alpha 154.01
_cell_angle_beta 154.01
_cell_angle_gamma 37.09
loop_
_atom_site_label
_atom_site_type_symbol
_atom_site_fract_x
_atom_site_fract_y
_atom_site_fract_z
Al1 Al 0.0000 0.0000 0.0000
Al2 Al 0.7500 0.2500 0.5000
Co1 Co 0.0387 0.6250 0.9137
Co2 Co 0.3750 0.2887 0.4137
Co3 Co 0.7113 0.1250 0.0863
Co4 Co 0.8750 0.9613 0.5863
Sn1 Sn 0.2500 0.7500 0.5000
Sn2 Sn 0.5000 0.5000 0.0000


# PBE Zr3ScTl3, relaxed
# Energy of formation from the pure elements ... -38 meV/atom
# M_tot ... 0.00 μB per formula unit
# VASP energy ... -5.620 eV per atom
# Space group ... P6_3/m (176)
data_Zr3ScTl3
_space_group_name_H-M_alt 'P 1'
_space_group_IT_number 1
_space_group_name_Hall 'P 1'
_cell_length_a 8.7308
_cell_length_b 8.7308
_cell_length_c 5.0246
_cell_angle_alpha 90.00
_cell_angle_beta 90.00
_cell_angle_gamma 120.00
loop_
_atom_site_label
_atom_site_type_symbol
_atom_site_fract_x
_atom_site_fract_y
_atom_site_fract_z
Zr1 Zr 0.0131 0.2229 0.2500
Zr2 Zr 0.2098 0.9869 0.2500
Zr3 Zr 0.2229 0.2098 0.7500
Zr4 Zr 0.7771 0.7902 0.2500
Zr5 Zr 0.7902 0.0131 0.7500
Zr6 Zr 0.9869 0.7771 0.7500
Sc1 Sc 0.3333 0.6667 0.2500
Sc2 Sc 0.6667 0.3333 0.7500
Tl1 Tl 0.0830 0.4588 0.7500
Tl2 Tl 0.3758 0.9170 0.7500
Tl3 Tl 0.4588 0.3758 0.2500
Tl4 Tl 0.5412 0.6242 0.7500
Tl5 Tl 0.6242 0.0830 0.2500
Tl6 Tl 0.9170 0.5412 0.2500


# PBE CrMoBr, relaxed
# Offset from the most stable computed form ... 28.6 kJ/mol of atoms
# Formation energy (no corrections) ... 0.413 eV/atom
# M_tot ... 0.00 μB per formula unit
# VASP energy ... -6.963 eV per atom
# Space group ... P3m1 (156)
data_CrMoBr
_space_group_name_H-M_alt 'P 1'
_space_group_IT_number 1
_space_group_name_Hall 'P 1'
_cell_length_a 3.1867
_cell_length_b 3.1867
_cell_length_c 5.9761
_cell_angle_alpha 90.00
_cell_angle_beta 90.00
_cell_angle_gamma 120.00
loop_
_atom_site_label
_atom_site_type_symbol
_atom_site_fract_x
_atom_site_fract_y
_atom_site_fract_z
Cr1 Cr 0.0000 0.0000 0.0000
Mo1 Mo 0.6667 0.3333 0.2518
Br1 Br 0.3333 0.6667 0.6529


# PBE ZrTaRe2, relaxed
# Energy of formation from the pure elements ... -102 meV/atom
# M_tot ... 0.00 μB per formula unit
# VASP energy ... -11.426 eV per atom
# Space group ... Immm (71)
data_ZrTaRe2
_space_group_name_H-M_alt 'P 1'
_space_group_IT_number 1
_space_group_name_Hall 'P 1'
_cell_length_a 5.3234
_cell_length_b 5.3234
_cell_length_c 5.3234
_cell_angle_alpha 144.63
_cell_angle_beta 127.61
_cell_angle_gamma 64.81
loop_
_atom_site_label
_atom_site_type_symbol
_atom_site_fract_x
_atom_site_fract_y
_atom_site_fract_z
Zr1 Zr 0.0000 0.0000 0.0000
Ta1 Ta 0.5000 0.5000 0.0000
Re1 Re 0.2549 0.7549 0.5000
Re2 Re 0.7451 0.2451 0.5000


# PBE Zn4Pd2Rh, relaxed
# Energy of formation from the pure elements ... -401 meV/atom
# M_tot ... 0.00 μB per formula unit
# VASP energy ... -3.663 eV per atom
# Space group ... I4/mmm (139)
data_Zn4Pd2Rh
_space_group_name_H-M_alt 'P 1'
_space_group_IT_number 1
_space_group_name_Hall 'P 1'
_cell_length_a 6.6922
_cell_length_b 6.6922
_cell_length_c 6.6922
_cell_angle_alpha 142.71
_cell_angle_beta 142.71
_cell_angle_gamma 53.76
loop_
_atom_site_label
_atom_site_type_symbol
_atom_site_fract_x
_atom_site_fract_y
_atom_site_fract_z
Zn1 Zn 0.1161 0.6161 0.5000
Zn2 Zn 0.3839 0.8839 0.5000
Zn3 Zn 0.6161 0.1161 0.5000
Zn4 Zn 0.8839 0.3839 0.5000
Pd1 Pd 0.2441 0.2441 0.0000
Pd2 Pd 0.7559 0.7559 0.0000
Rh1 Rh 0.0000 0.0000 0.0000